1.
This record from the Alexandria database describes crystalline LaCeTmMg at its relaxed geometry. The functional is PBE.

Cell and atoms, written as CIF:
```
data_LaCeTmMg
_symmetry_space_group_name_H-M 'P 1'
_symmetry_Int_Tables_number 1
_cell_length_a 5.5846
_cell_length_b 5.5846
_cell_length_c 5.5846
_cell_angle_alpha 60.00
_cell_angle_beta 60.00
_cell_angle_gamma 60.00
loop_
_symmetry_equiv_pos_as_xyz
'x,y,z'
loop_
_atom_site_label
_atom_site_fract_x
_atom_site_fract_y
_atom_site_fract_z
Mg1 0.0000 0.0000 0.0000
Tm1 0.5000 0.5000 0.5000
Ce1 0.2500 0.2500 0.2500
La1 0.7500 0.7500 0.7500
```

Energy of formation from the pure elements, eV/f.u.: 0.343

2.
This record from the Alexandria database describes crystalline PrPaMnS6 at its relaxed geometry. The functional is PBE.

Cell and atoms, written as CIF:
```
data_PrPaMnS6
_symmetry_space_group_name_H-M 'P 1'
_symmetry_Int_Tables_number 1
_cell_length_a 5.8948
_cell_length_b 6.4762
_cell_length_c 6.4762
_cell_angle_alpha 120.00
_cell_angle_beta 90.00
_cell_angle_gamma 90.00
loop_
_symmetry_equiv_pos_as_xyz
'x,y,z'
loop_
_atom_site_label
_atom_site_fract_x
_atom_site_fract_y
_atom_site_fract_z
Pr1 0.5000 0.6667 0.3333
Pa1 0.0000 0.3333 0.6667
Mn1 0.5000 0.0000 0.0000
S1 0.7414 0.6925 0.7199
S2 0.7414 0.2801 0.9726
S3 0.7414 0.0274 0.3075
S4 0.2586 0.2801 0.3075
S5 0.2586 0.6925 0.9726
S6 0.2586 0.0274 0.7199
```

3.
This record from the Alexandria database describes crystalline Pr8Nd2In at its relaxed geometry. The functional is PBE.

Cell and atoms, written as CIF:
```
data_Pr8Nd2In
_symmetry_space_group_name_H-M 'P 1'
_symmetry_Int_Tables_number 1
_cell_length_a 5.1304
_cell_length_b 8.2207
_cell_length_c 9.6870
_cell_angle_alpha 104.85
_cell_angle_beta 105.36
_cell_angle_gamma 90.00
loop_
_symmetry_equiv_pos_as_xyz
'x,y,z'
loop_
_atom_site_label
_atom_site_fract_x
_atom_site_fract_y
_atom_site_fract_z
Pr1 0.4105 0.5589 0.8211
Pr2 0.6771 0.9085 0.3542
Pr3 0.8637 0.8228 0.7274
Pr4 0.9564 0.2700 0.9129
Pr5 0.1363 0.1772 0.2726
Pr6 0.3229 0.0915 0.6458
Pr7 0.5895 0.4411 0.1789
Pr8 0.0436 0.7300 0.0871
Nd1 0.7757 0.3660 0.5514
Nd2 0.2243 0.6340 0.4486
In1 0.5000 0.0000 0.0000
```

Energy of formation from the pure elements, eV/f.u.: -0.739

4.
This record from the Alexandria database describes crystalline PuSCl at its relaxed geometry. The functional is PBE.

Cell and atoms, written as CIF:
```
data_PuSCl
_symmetry_space_group_name_H-M 'P 1'
_symmetry_Int_Tables_number 1
_cell_length_a 4.6923
_cell_length_b 4.6923
_cell_length_c 4.6923
_cell_angle_alpha 60.00
_cell_angle_beta 60.00
_cell_angle_gamma 60.00
loop_
_symmetry_equiv_pos_as_xyz
'x,y,z'
loop_
_atom_site_label
_atom_site_fract_x
_atom_site_fract_y
_atom_site_fract_z
S1 0.0000 0.0000 0.0000
Cl1 0.5000 0.5000 0.5000
Pu1 0.2500 0.2500 0.2500
```

5.
This record from the Alexandria database describes crystalline YSbRu2 at its relaxed geometry. The functional is PBE.

Cell and atoms, written as CIF:
```
data_YSbRu2
_symmetry_space_group_name_H-M 'P 1'
_symmetry_Int_Tables_number 1
_cell_length_a 5.2560
_cell_length_b 5.2560
_cell_length_c 4.6346
_cell_angle_alpha 73.80
_cell_angle_beta 73.80
_cell_angle_gamma 37.20
loop_
_symmetry_equiv_pos_as_xyz
'x,y,z'
loop_
_atom_site_label
_atom_site_fract_x
_atom_site_fract_y
_atom_site_fract_z
Ru1 0.0019 0.0019 0.0605
Ru2 0.7555 0.7555 0.6819
Sb1 0.4879 0.4879 0.5652
Y1 0.2547 0.2547 0.1924
```

6.
This record from the Alexandria database describes crystalline Ho4GeSe2S at its relaxed geometry. The functional is PBE.

Cell and atoms, written as CIF:
```
data_Ho4GeSe2S
_symmetry_space_group_name_H-M 'P 1'
_symmetry_Int_Tables_number 1
_cell_length_a 4.0398
_cell_length_b 7.0717
_cell_length_c 6.9568
_cell_angle_alpha 70.57
_cell_angle_beta 90.00
_cell_angle_gamma 90.00
loop_
_symmetry_equiv_pos_as_xyz
'x,y,z'
loop_
_atom_site_label
_atom_site_fract_x
_atom_site_fract_y
_atom_site_fract_z
Ho1 0.0000 0.7354 0.7555
Ho2 0.0000 0.2646 0.2445
Ho3 0.5000 0.7314 0.2558
Ho4 0.5000 0.2686 0.7442
Ge1 0.5000 0.5000 0.0000
Se1 0.0000 0.0000 0.0000
Se2 0.5000 0.0000 0.5000
S1 0.0000 0.5000 0.5000
```

7.
This record from the Alexandria database describes crystalline InFeSe3 at its relaxed geometry. The functional is PBE.

Cell and atoms, written as CIF:
```
data_InFeSe3
_symmetry_space_group_name_H-M 'P 1'
_symmetry_Int_Tables_number 1
_cell_length_a 4.7768
_cell_length_b 4.7768
_cell_length_c 4.7768
_cell_angle_alpha 90.00
_cell_angle_beta 90.00
_cell_angle_gamma 90.00
loop_
_symmetry_equiv_pos_as_xyz
'x,y,z'
loop_
_atom_site_label
_atom_site_fract_x
_atom_site_fract_y
_atom_site_fract_z
Fe1 0.0000 0.0000 0.0000
Se1 0.0000 0.5000 0.0000
Se2 0.0000 0.0000 0.5000
Se3 0.5000 0.0000 0.0000
In1 0.5000 0.5000 0.5000
```

8.
This record from the Alexandria database describes crystalline KTc2Cl at its relaxed geometry. The functional is PBE.

Cell and atoms, written as CIF:
```
data_KTc2Cl
_symmetry_space_group_name_H-M 'P 1'
_symmetry_Int_Tables_number 1
_cell_length_a 3.6731
_cell_length_b 3.6731
_cell_length_c 8.9053
_cell_angle_alpha 74.28
_cell_angle_beta 74.28
_cell_angle_gamma 56.50
loop_
_symmetry_equiv_pos_as_xyz
'x,y,z'
loop_
_atom_site_label
_atom_site_fract_x
_atom_site_fract_y
_atom_site_fract_z
K1 0.7819 0.7819 0.7282
Tc1 0.9407 0.9407 0.0833
Tc2 0.2067 0.2067 0.2171
Cl1 0.5707 0.5707 0.4714
```

9.
This record from the Alexandria database describes crystalline CoPdS4 at its relaxed geometry. The functional is PBE.

Cell and atoms, written as CIF:
```
data_CoPdS4
_symmetry_space_group_name_H-M 'P 1'
_symmetry_Int_Tables_number 1
_cell_length_a 6.9159
_cell_length_b 5.5418
_cell_length_c 7.1557
_cell_angle_alpha 113.23
_cell_angle_beta 118.90
_cell_angle_gamma 90.00
loop_
_symmetry_equiv_pos_as_xyz
'x,y,z'
loop_
_atom_site_label
_atom_site_fract_x
_atom_site_fract_y
_atom_site_fract_z
Co1 0.0000 0.5000 0.5000
Co2 0.5000 0.0000 0.5000
Pd1 0.2128 0.2500 0.0000
Pd2 0.7872 0.7500 0.0000
S1 0.2353 0.8061 0.8618
S2 0.3735 0.6939 0.1382
S3 0.7647 0.1939 0.1382
S4 0.6265 0.3061 0.8618
S5 0.6389 0.6736 0.6022
S6 0.0367 0.8264 0.3978
S7 0.3611 0.3264 0.3978
S8 0.9633 0.1736 0.6022
```

10.
This record from the Alexandria database describes crystalline BiPdIN2 at its relaxed geometry. The functional is PBE.

Cell and atoms, written as CIF:
```
data_BiPdIN2
_symmetry_space_group_name_H-M 'P 1'
_symmetry_Int_Tables_number 1
_cell_length_a 4.3263
_cell_length_b 4.3263
_cell_length_c 5.4801
_cell_angle_alpha 90.00
_cell_angle_beta 90.00
_cell_angle_gamma 90.00
loop_
_symmetry_equiv_pos_as_xyz
'x,y,z'
loop_
_atom_site_label
_atom_site_fract_x
_atom_site_fract_y
_atom_site_fract_z
I1 0.0000 0.0000 0.5000
Bi1 0.5000 0.5000 0.5000
Pd1 0.0000 0.0000 0.0000
N1 0.0000 0.5000 0.0000
N2 0.5000 0.0000 0.0000
```

11.
This record from the Alexandria database describes crystalline NiAgW2 at its relaxed geometry. The functional is PBE.

Cell and atoms, written as CIF:
```
data_NiAgW2
_symmetry_space_group_name_H-M 'P 1'
_symmetry_Int_Tables_number 1
_cell_length_a 2.6828
_cell_length_b 3.9659
_cell_length_c 5.7410
_cell_angle_alpha 90.00
_cell_angle_beta 90.00
_cell_angle_gamma 90.00
loop_
_symmetry_equiv_pos_as_xyz
'x,y,z'
loop_
_atom_site_label
_atom_site_fract_x
_atom_site_fract_y
_atom_site_fract_z
Ag1 0.0000 0.0000 0.5139
Ni1 0.5000 0.5000 0.7581
W1 0.0000 0.0000 0.9876
W2 0.5000 0.5000 0.2404
```

Energy of formation from the pure elements, eV/f.u.: 1.612

no.,electronic total energy (eV/atom),magnetic moment (μB/f.u.)
1,-4.146,1.18
2,-6.465,3.00
3,-4.659,0.00
4,-8.464,5.00
5,-7.475,0.00
6,-5.904,0.00
7,-4.142,0.00
8,-5.831,0.00
9,-4.949,0.96
10,-3.906,2.52
11,-8.232,0.00